(i)
Hf2ZnMo after structural relaxation, computed with PBE-GGA.

a b c (Å): 3.392 3.392 6.435
angles (deg): 90.00 90.00 90.00
Space group P4/mmm (No. 123)
Unique sites:
Hf: 0.000 0.000 0.238
Zn: 0.500 0.500 0.500
Mo: 0.500 0.500 0.000

Properties
As for the density: 11.63 g/cm³.

---

(ii)
Hf2ZnMo after structural relaxation, computed with PBE-GGA.

a b c (Å): 6.643 6.643 6.643
angles (deg): 90.00 90.00 90.00
Space group Fm-3m (No. 225)
Unique sites:
Hf: 0.250 0.250 0.250
Zn: 0.000 0.000 0.000
Mo: 0.000 0.000 0.500

Properties
As for the density: 11.74 g/cm³.

---

Which structure is the least stable? The one labeled (ii).

---

(i)
HfZrZnMo after structural relaxation, computed with PBE-GGA.

a b c (Å): 3.412 3.412 6.430
angles (deg): 90.00 90.00 90.00
Space group P4mm (No. 99)
Unique sites:
Hf: 0.000 0.000 0.000
Zr: 0.000 0.000 0.521
Zn: 0.500 0.500 0.256
Mo: 0.500 0.500 0.764

Properties
As for the density: 9.57 g/cm³.

---

(ii)
HfZrZnMo after structural relaxation, computed with PBE-GGA.

a b c (Å): 6.680 6.680 6.680
angles (deg): 90.00 90.00 90.00
Space group F-43m (No. 216)
Unique sites:
Hf: 0.000 0.000 0.000
Zr: 0.000 0.000 0.500
Zn: 0.250 0.250 0.750
Mo: 0.250 0.250 0.250

Properties
As for the density: 9.60 g/cm³.

---

Which structure is the least stable? The one labeled (ii).

---

(i)
Hf3N4 after structural relaxation, computed with PBE-GGA.

a b c (Å): 9.070 9.070 9.070
angles (deg): 90.00 90.00 90.00
Space group Fd-3m (No. 227, origin choice 2)
Unique sites:
Hf: 0.000 0.000 0.000
Hf: 0.125 0.125 0.625
N: 0.008 0.008 0.242

Properties
As for the density: 10.53 g/cm³.

---

(ii)
Hf3N4 after structural relaxation, computed with PBE-GGA.

a b c (Å): 3.4090 3.4090 25.2335
angles (deg): 90.00 90.00 120.00
Space group R-3m (No. 166, hexagonal axes)
Unique sites:
Hf: 0.0000 0.0000 0.0000
Hf: 0.0000 0.0000 0.2220
N: 0.0000 0.0000 0.1323
N: 0.0000 0.0000 0.3781

Properties
As for the density: 11.60 g/cm³.

---

Which structure is the least stable? The one labeled (ii).